Compound: PuAgAu2
Source: Alexandria
Functional: GGA-PBEsol
Structure: relaxed

The energy of formation from the pure elements comes out at -0.1031 eV per atom. For the size of the total moment, the calculation gives 5.29 μB per formula unit. As for the space-group type: Fm-3m (225). The value obtained for the total energy is -6.681 eV/atom.

Lattice parameters (Å, degrees): 6.8340 6.8340 6.8340 90.00 90.00 90.00
Sites, in units of the cell vectors:
Pu (0.0000, 0.0000, 0.0000)
Pu (0.0000, 0.5000, 0.5000)
Pu (0.5000, 0.0000, 0.5000)
Pu (0.5000, 0.5000, 0.0000)
Ag (0.0000, 0.0000, 0.5000)
Ag (0.0000, 0.5000, 0.0000)
Ag (0.5000, 0.0000, 0.0000)
Ag (0.5000, 0.5000, 0.5000)
Au (0.2500, 0.2500, 0.2500)
Au (0.2500, 0.2500, 0.7500)
Au (0.2500, 0.7500, 0.2500)
Au (0.2500, 0.7500, 0.7500)
Au (0.7500, 0.2500, 0.2500)
Au (0.7500, 0.2500, 0.7500)
Au (0.7500, 0.7500, 0.2500)
Au (0.7500, 0.7500, 0.7500)



Compound: Rb2AgAu
Source: Alexandria
Functional: GGA-PBEsol
Structure: relaxed

The energy of formation from the pure elements comes out at 0.0736 eV per atom. For the size of the total moment, the calculation gives 0.00 μB per formula unit. As for the space-group type: Fm-3m (225). The value obtained for the total energy is -2.248 eV/atom.

Lattice parameters (Å, degrees): 8.1245 8.1245 8.1245 90.00 90.00 90.00
Sites, in units of the cell vectors:
Rb (0.2500, 0.2500, 0.2500)
Rb (0.2500, 0.2500, 0.7500)
Rb (0.2500, 0.7500, 0.2500)
Rb (0.2500, 0.7500, 0.7500)
Rb (0.7500, 0.2500, 0.2500)
Rb (0.7500, 0.2500, 0.7500)
Rb (0.7500, 0.7500, 0.2500)
Rb (0.7500, 0.7500, 0.7500)
Ag (0.0000, 0.0000, 0.0000)
Ag (0.0000, 0.5000, 0.5000)
Ag (0.5000, 0.0000, 0.5000)
Ag (0.5000, 0.5000, 0.0000)
Au (0.0000, 0.0000, 0.5000)
Au (0.0000, 0.5000, 0.0000)
Au (0.5000, 0.0000, 0.0000)
Au (0.5000, 0.5000, 0.5000)



Compound: RbAgAu3
Source: Alexandria
Functional: GGA-PBEsol
Structure: relaxed

The energy of formation from the pure elements comes out at 0.3141 eV per atom. For the size of the total moment, the calculation gives 0.00 μB per formula unit. As for the space-group type: Pm-3m (221). The value obtained for the total energy is -2.908 eV/atom.

Lattice parameters (Å, degrees): 5.1311 5.1311 5.1311 90.00 90.00 90.00
Sites, in units of the cell vectors:
Rb (0.0000, 0.0000, 0.0000)
Ag (0.5000, 0.5000, 0.5000)
Au (0.0000, 0.5000, 0.5000)
Au (0.5000, 0.0000, 0.5000)
Au (0.5000, 0.5000, 0.0000)



Compound: Rb2Ag2Au
Source: Alexandria
Functional: GGA-PBEsol
Structure: relaxed

The energy of formation from the pure elements comes out at 0.0679 eV per atom. For the size of the total moment, the calculation gives 0.00 μB per formula unit. As for the space-group type: I4/mmm (139). The value obtained for the total energy is -2.451 eV/atom.

Lattice parameters (Å, degrees): 3.8494 3.8494 20.2696 90.00 90.00 90.00
Sites, in units of the cell vectors:
Rb (0.0000, 0.0000, 0.1034)
Rb (0.0000, 0.0000, 0.8966)
Rb (0.5000, 0.5000, 0.3966)
Rb (0.5000, 0.5000, 0.6034)
Ag (0.0000, 0.5000, 0.2500)
Ag (0.0000, 0.5000, 0.7500)
Ag (0.5000, 0.0000, 0.2500)
Ag (0.5000, 0.0000, 0.7500)
Au (0.0000, 0.0000, 0.5000)
Au (0.5000, 0.5000, 0.0000)



Compound: RbAg2AuS
Source: Alexandria
Functional: GGA-PBEsol
Structure: relaxed

As for the energy relative to the elements, uncorrected: 0.127 eV per atom. For the size of the total moment, the calculation gives 0.00 μB per formula unit. As for the space-group type: P4/mmm (123). The value obtained for the total energy is -3.064 eV/atom.

Lattice parameters (Å, degrees): 5.1768 5.1768 4.8788 90.00 90.00 90.00
Sites, in units of the cell vectors:
Rb (0.0000, 0.0000, 0.0000)
Ag (0.0000, 0.5000, 0.5000)
Ag (0.5000, 0.0000, 0.5000)
Au (0.5000, 0.5000, 0.5000)
S (0.5000, 0.5000, 0.0000)



Compound: ReAg2Au
Source: Alexandria
Functional: GGA-PBEsol
Structure: relaxed

The energy of formation from the pure elements comes out at 0.3942 eV per atom. For the size of the total moment, the calculation gives 0.00 μB per formula unit. As for the space-group type: P4/mmm (123). The value obtained for the total energy is -5.575 eV/atom. For the energy above the most stable polymorph in this dataset, the calculation gives 0.000 eV per atom.

Lattice parameters (Å, degrees): 2.7004 2.7004 8.7408 90.00 90.00 90.00
Sites, in units of the cell vectors:
Re (0.0000, 0.0000, 0.0000)
Ag (0.5000, 0.5000, 0.2456)
Ag (0.5000, 0.5000, 0.7544)
Au (0.0000, 0.0000, 0.5000)



Compound: Re2AgAu
Source: Alexandria
Functional: GGA-PBEsol
Structure: relaxed

The energy of formation from the pure elements comes out at 0.6457 eV per atom. For the size of the total moment, the calculation gives 0.00 μB per formula unit. As for the space-group type: I4/mmm (139). The value obtained for the total energy is -7.829 eV/atom. For the energy above the most stable polymorph in this dataset, the calculation gives 0.000 eV per atom.

Lattice parameters (Å, degrees): 3.7747 3.7747 8.6244 90.00 90.00 90.00
Sites, in units of the cell vectors:
Re (0.0000, 0.5000, 0.2500)
Re (0.0000, 0.5000, 0.7500)
Re (0.5000, 0.0000, 0.2500)
Re (0.5000, 0.0000, 0.7500)
Ag (0.0000, 0.0000, 0.0000)
Ag (0.5000, 0.5000, 0.5000)
Au (0.0000, 0.0000, 0.5000)
Au (0.5000, 0.5000, 0.0000)



Compound: ReAg2Au
Source: Alexandria
Functional: GGA-PBEsol
Structure: relaxed

The energy of formation from the pure elements comes out at 0.4791 eV per atom. For the size of the total moment, the calculation gives 0.68 μB per formula unit. As for the space-group type: C2/m (12). The value obtained for the total energy is -5.490 eV/atom. For the energy above the most stable polymorph in this dataset, the calculation gives 0.085 eV per atom.

Lattice parameters (Å, degrees): 9.5950 2.6887 4.9906 90.00 97.80 90.00
Sites, in units of the cell vectors:
Re (0.0000, 0.0000, 0.0000)
Re (0.5000, 0.5000, 0.0000)
Ag (0.2468, 0.5000, 0.2441)
Ag (0.2532, 0.0000, 0.7559)
Ag (0.7468, 0.0000, 0.2441)
Ag (0.7532, 0.5000, 0.7559)
Au (0.0000, 0.5000, 0.5000)
Au (0.5000, 0.0000, 0.5000)



Compound: Re2AgAu
Source: Alexandria
Functional: GGA-PBEsol
Structure: relaxed

The energy of formation from the pure elements comes out at 0.9884 eV per atom. For the size of the total moment, the calculation gives 0.00 μB per formula unit. As for the space-group type: Fm-3m (225). The value obtained for the total energy is -7.486 eV/atom. For the energy above the most stable polymorph in this dataset, the calculation gives 0.343 eV per atom.

Lattice parameters (Å, degrees): 6.2651 6.2651 6.2651 90.00 90.00 90.00
Sites, in units of the cell vectors:
Re (0.2500, 0.2500, 0.2500)
Re (0.2500, 0.2500, 0.7500)
Re (0.2500, 0.7500, 0.2500)
Re (0.2500, 0.7500, 0.7500)
Re (0.7500, 0.2500, 0.2500)
Re (0.7500, 0.2500, 0.7500)
Re (0.7500, 0.7500, 0.2500)
Re (0.7500, 0.7500, 0.7500)
Ag (0.0000, 0.0000, 0.0000)
Ag (0.0000, 0.5000, 0.5000)
Ag (0.5000, 0.0000, 0.5000)
Ag (0.5000, 0.5000, 0.0000)
Au (0.0000, 0.0000, 0.5000)
Au (0.0000, 0.5000, 0.0000)
Au (0.5000, 0.0000, 0.0000)
Au (0.5000, 0.5000, 0.5000)



Compound: ReAg2Au
Source: Alexandria
Functional: GGA-PBEsol
Structure: relaxed

The energy of formation from the pure elements comes out at 0.5085 eV per atom. For the size of the total moment, the calculation gives 0.66 μB per formula unit. As for the space-group type: Pmmm (47). The value obtained for the total energy is -5.461 eV/atom. For the energy above the most stable polymorph in this dataset, the calculation gives 0.114 eV per atom.

Lattice parameters (Å, degrees): 2.6972 4.8760 4.9374 90.00 90.00 90.00
Sites, in units of the cell vectors:
Re (0.0000, 0.0000, 0.0000)
Ag (0.0000, 0.5000, 0.5000)
Ag (0.5000, 0.0000, 0.5000)
Au (0.5000, 0.5000, 0.0000)



Compound: AgRh2Au
Source: Alexandria
Functional: GGA-PBEsol
Structure: relaxed

The energy of formation from the pure elements comes out at 0.2064 eV per atom. For the size of the total moment, the calculation gives 0.01 μB per formula unit. As for the space-group type: Cm (8). The value obtained for the total energy is -5.672 eV/atom.

Lattice parameters (Å, degrees): 9.0952 2.7683 4.8659 90.00 100.19 90.00
Sites, in units of the cell vectors:
Ag (0.0000, 0.0000, 0.0000)
Ag (0.5000, 0.5000, 0.0000)
Rh (0.2542, 0.5000, 0.2862)
Rh (0.4933, 0.0000, 0.4822)
Rh (0.7542, 0.0000, 0.2862)
Rh (0.9933, 0.5000, 0.4822)
Au (0.2448, 0.0000, 0.7679)
Au (0.7448, 0.5000, 0.7679)



Compound: AgRuAu
Source: Alexandria
Functional: GGA-PBEsol
Structure: relaxed

The energy of formation from the pure elements comes out at 0.5567 eV per atom. For the size of the total moment, the calculation gives 1.61 μB per formula unit. As for the space-group type: P3m1 (156). The value obtained for the total energy is -5.246 eV/atom. For the energy above the most stable polymorph in this dataset, the calculation gives 0.115 eV per atom.

Lattice parameters (Å, degrees): 4.5273 4.5273 2.6801 90.00 90.00 120.00
Sites, in units of the cell vectors:
Ag (0.0000, 0.0000, 0.0000)
Ru (0.3333, 0.6667, 0.6188)
Au (0.6667, 0.3333, 0.2200)